The following is a DFT calculation (PBE-GGA) of a relaxed structure of K2CuAs.

a = 4.4271 Å, b = 5.4553 Å, c = 10.6889 Å
α = 90.00°, β = 90.00°, γ = 90.00°
Last column: nearest neighbours and their distance in Å.
Space group Amm2 (No. 38)
Inequivalent atoms, fractional coordinates:
K (0.0000, 0.0000, 0.0000) [2 per cell]  3 As 3.36-3.38, 4 Cu 3.76
K (0.5000, 0.0000, 0.3037) [2 per cell]  3 Cu 3.32-3.45
Cu (0.5000, 0.0000, 0.6262) [2 per cell]  2 As 2.30
As (0.0000, 0.0000, 0.6837) [2 per cell]  2 Cu 2.30

Properties
E_form (eV/atom): -0.295
E_tot (eV/f.u.): -12.1